Record 1
The following is a GGA-PBE calculation of a relaxed structure of Ac8Pm6Tm, from the Alexandria database.

Unit cell a=9.2395 b=9.2395 c=9.2395 alpha=66.47 beta=66.47 gamma=66.47
With the nearest neighbours (Å) after each atom.
Positions (direct):
Ac (0.0903, 0.6759, 0.3624)  3 Pm 3.50-3.74, 2 Ac 3.76-3.92
Ac (0.2294, 0.2294, 0.2294)  6 Pm 3.54-3.82, 3 Ac 3.92
Ac (0.3241, 0.6376, 0.9097)  3 Pm 3.50-3.74, 2 Ac 3.76-3.92
Ac (0.3624, 0.0903, 0.6759)  3 Pm 3.50-3.74, 2 Ac 3.76-3.92
Ac (0.6376, 0.9097, 0.3241)  3 Pm 3.50-3.74, 2 Ac 3.76-3.92
Ac (0.6759, 0.3624, 0.0903)  3 Pm 3.50-3.74, 2 Ac 3.76-3.92
Ac (0.7706, 0.7706, 0.7706)  6 Pm 3.54-3.82, 3 Ac 3.92
Ac (0.9097, 0.3241, 0.6376)  3 Pm 3.50-3.74, 2 Ac 3.76-3.92
Pm (0.1309, 0.4409, 0.8171)  5 Ac 3.50-3.82, 1 Tm 3.57, 3 Pm 3.57-3.83
Pm (0.1829, 0.8691, 0.5591)  5 Ac 3.50-3.82, 1 Tm 3.57, 3 Pm 3.57-3.83
Pm (0.4409, 0.8171, 0.1309)  5 Ac 3.50-3.82, 1 Tm 3.57, 3 Pm 3.57-3.83
Pm (0.5591, 0.1829, 0.8691)  5 Ac 3.50-3.82, 1 Tm 3.57, 3 Pm 3.57-3.83
Pm (0.8171, 0.1309, 0.4409)  5 Ac 3.50-3.82, 1 Tm 3.57, 3 Pm 3.57-3.83
Pm (0.8691, 0.5591, 0.1829)  5 Ac 3.50-3.82, 1 Tm 3.57, 3 Pm 3.57-3.83
Tm (0.5000, 0.5000, 0.5000)  6 Pm 3.57, 6 Ac 3.98

Computed properties:
- E: -62.30 eV for the cell shown
- Formation enthalpy at 0 K: 236 meV per atom

***

Record 2
The following is a GGA-PBE calculation of a relaxed structure of AcPm6Y2Tm3, from the Alexandria database.

Unit cell a=6.2876 b=6.2876 c=11.9758 alpha=95.02 beta=95.02 gamma=120.00
With the nearest neighbours (Å) after each atom.
Positions (direct):
Ac (0.0000, 0.0000, 0.0000)  6 Y 3.63, 6 Pm 3.69
Pm (0.0861, 0.4219, 0.2567)  3 Tm 3.54-3.56, 6 Pm 3.62-3.66, 2 Y 3.68, 1 Ac 3.69
Pm (0.2495, 0.2495, 0.7428)  3 Tm 3.54-3.55, 6 Pm 3.62-3.66, 2 Y 3.68, 1 Ac 3.69
Pm (0.4219, 0.0861, 0.2567)  3 Tm 3.54-3.56, 6 Pm 3.62-3.66, 2 Y 3.68, 1 Ac 3.69
Pm (0.5781, 0.9139, 0.7433)  3 Tm 3.54-3.56, 6 Pm 3.62-3.66, 2 Y 3.68, 1 Ac 3.69
Pm (0.7505, 0.7505, 0.2572)  3 Tm 3.54-3.55, 6 Pm 3.62-3.66, 2 Y 3.68, 1 Ac 3.69
Pm (0.9139, 0.5781, 0.7433)  3 Tm 3.54-3.56, 6 Pm 3.62-3.66, 2 Y 3.68, 1 Ac 3.69
Y (0.3335, 0.6665, 0.0000)  3 Y 3.63, 3 Ac 3.63, 6 Pm 3.68
Y (0.6665, 0.3335, 0.0000)  3 Y 3.63, 3 Ac 3.63, 6 Pm 3.68
Tm (0.1672, 0.8328, 0.5000)  6 Pm 3.54-3.56, 6 Tm 3.62-3.64
Tm (0.5000, 0.5000, 0.5000)  6 Pm 3.54-3.56, 6 Tm 3.62-3.63
Tm (0.8328, 0.1672, 0.5000)  6 Pm 3.54-3.56, 6 Tm 3.62-3.64

Computed properties:
- E: -58.59 eV for the cell shown
- Formation enthalpy at 0 K: 30 meV per atom

***

Record 3
The following is a GGA-PBE calculation of a relaxed structure of AcPm2Y2Tm2, from the Alexandria database.

Unit cell a=6.2665 b=6.2665 c=8.1453 alpha=97.41 beta=97.41 gamma=48.51
With the nearest neighbours (Å) after each atom.
Positions (direct):
Ac (0.0000, 0.0000, 0.0000)  6 Y 3.65, 2 Tm 3.68, 4 Pm 3.69
Pm (0.4258, 0.4258, 0.2924)  5 Tm 3.56-3.65, 1 Pm 3.56, 4 Y 3.61-3.74, 2 Ac 3.69
Pm (0.5742, 0.5742, 0.7076)  5 Tm 3.56-3.65, 1 Pm 3.56, 4 Y 3.61-3.74, 2 Ac 3.69
Y (0.2858, 0.2858, 0.8480)  3 Tm 3.53-3.62, 4 Pm 3.61-3.74, 3 Ac 3.65, 2 Y 3.74
Y (0.7142, 0.7142, 0.1520)  3 Tm 3.53-3.62, 4 Pm 3.61-3.74, 3 Ac 3.65, 2 Y 3.74
Tm (0.1426, 0.1426, 0.4342)  3 Y 3.53-3.62, 5 Pm 3.56-3.65, 3 Tm 3.57-3.61, 1 Ac 3.68
Tm (0.8574, 0.8574, 0.5658)  3 Y 3.53-3.62, 5 Pm 3.56-3.65, 3 Tm 3.57-3.61, 1 Ac 3.68

Computed properties:
- E: -35.19 eV for the cell shown
- Formation enthalpy at 0 K: 41 meV per atom

***

Record 4
The following is a GGA-PBE calculation of a relaxed structure of AcPm2YTm, from the Alexandria database.

Unit cell a=7.3921 b=7.3921 c=7.3558 alpha=90.00 beta=90.00 gamma=109.78
With the nearest neighbours (Å) after each atom.
Positions (direct):
Ac (0.2479, 0.7521, 0.7500)  1 Y 3.51, 2 Tm 3.74, 4 Pm 3.92
Ac (0.7521, 0.2479, 0.2500)  1 Y 3.51, 2 Tm 3.74, 4 Pm 3.92
Pm (0.3069, 0.3069, 0.0000)  2 Y 3.23, 1 Pm 3.28, 2 Tm 3.43
Pm (0.3069, 0.3069, 0.5000)  2 Y 3.23, 1 Pm 3.28, 2 Tm 3.43
Pm (0.6931, 0.6931, 0.0000)  2 Y 3.23, 1 Pm 3.28, 2 Tm 3.43
Pm (0.6931, 0.6931, 0.5000)  2 Y 3.23, 1 Pm 3.28, 2 Tm 3.43
Y (0.0420, 0.9580, 0.2500)  1 Tm 3.16, 4 Pm 3.23, 1 Ac 3.51
Y (0.9580, 0.0420, 0.7500)  1 Tm 3.16, 4 Pm 3.23, 1 Ac 3.51
Tm (0.3031, 0.6969, 0.2500)  1 Y 3.16, 4 Pm 3.43
Tm (0.6969, 0.3031, 0.7500)  1 Y 3.16, 4 Pm 3.43

Computed properties:
- E: -45.47 eV for the cell shown
- Formation enthalpy at 0 K: 362 meV per atom

***

Record 5
The following is a GGA-PBE calculation of a relaxed structure of AcPm6YTm2, from the Alexandria database.

Unit cell a=9.0148 b=9.0148 c=9.7081 alpha=92.95 beta=92.95 gamma=117.44
With the nearest neighbours (Å) after each atom.
Positions (direct):
Ac (0.0295, 0.9705, 0.7500)  4 Tm 3.52-3.61, 6 Pm 3.71-3.88
Ac (0.9705, 0.0295, 0.2500)  4 Tm 3.52-3.61, 6 Pm 3.71-3.88
Pm (0.0096, 0.5531, 0.6814)  3 Pm 3.28-3.59, 2 Tm 3.48-3.59, 1 Y 3.52
Pm (0.1217, 0.7545, 0.0542)  7 Pm 3.48-3.86, 1 Tm 3.62, 2 Ac 3.81-3.88
Pm (0.2455, 0.8783, 0.4458)  7 Pm 3.48-3.86, 1 Tm 3.62, 2 Ac 3.81-3.88
Pm (0.2899, 0.5114, 0.8815)  4 Pm 3.28-3.59, 3 Tm 3.30-3.48, 2 Y 3.48-3.62
Pm (0.4469, 0.9904, 0.8186)  3 Pm 3.28-3.59, 2 Tm 3.48-3.59, 1 Y 3.52
Pm (0.4886, 0.7101, 0.6185)  4 Pm 3.28-3.59, 3 Tm 3.30-3.48, 2 Y 3.48-3.62
Pm (0.5114, 0.2899, 0.3815)  4 Pm 3.28-3.59, 3 Tm 3.30-3.48, 2 Y 3.48-3.62
Pm (0.5531, 0.0096, 0.1814)  3 Pm 3.28-3.59, 2 Tm 3.48-3.59, 1 Y 3.52
Pm (0.7101, 0.4886, 0.1185)  4 Pm 3.28-3.59, 3 Tm 3.30-3.48, 2 Y 3.48-3.62
Pm (0.7545, 0.1217, 0.5542)  7 Pm 3.48-3.86, 1 Tm 3.62, 2 Ac 3.81-3.88
Pm (0.8783, 0.2455, 0.9458)  7 Pm 3.48-3.86, 1 Tm 3.62, 2 Ac 3.81-3.88
Pm (0.9904, 0.4469, 0.3186)  3 Pm 3.28-3.59, 2 Tm 3.48-3.59, 1 Y 3.52
Y (0.4122, 0.5878, 0.2500)  6 Pm 3.48-3.62, 4 Tm 3.58-3.87
Y (0.5878, 0.4122, 0.7500)  6 Pm 3.48-3.62, 4 Tm 3.58-3.87
Tm (0.2057, 0.3146, 0.5476)  6 Pm 3.30-3.62, 2 Ac 3.52-3.61, 1 Y 3.58
Tm (0.3146, 0.2057, 0.0476)  6 Pm 3.30-3.62, 2 Ac 3.52-3.61, 1 Y 3.58
Tm (0.6854, 0.7943, 0.9524)  6 Pm 3.30-3.62, 2 Ac 3.52-3.61, 1 Y 3.58
Tm (0.7943, 0.6854, 0.4524)  6 Pm 3.30-3.62, 2 Ac 3.52-3.61, 1 Y 3.58

Computed properties:
- E: -93.67 eV for the cell shown
- Formation enthalpy at 0 K: 118 meV per atom

***

Record 6
The following is a GGA-PBE calculation of a relaxed structure of AcPm6Y2Tm, from the Alexandria database.

Unit cell a=9.0251 b=9.0251 c=9.6406 alpha=92.51 beta=92.51 gamma=116.52
With the nearest neighbours (Å) after each atom.
Positions (direct):
Ac (0.0324, 0.9676, 0.7500)  4 Y 3.51-3.66, 6 Pm 3.67-3.83
Ac (0.9676, 0.0324, 0.2500)  4 Y 3.51-3.66, 6 Pm 3.67-3.83
Pm (0.0033, 0.5514, 0.6840)  4 Pm 3.29-3.65, 1 Tm 3.49, 2 Y 3.50-3.64, 1 Ac 3.67
Pm (0.1222, 0.7572, 0.0563)  7 Pm 3.52-3.85, 1 Y 3.65, 2 Ac 3.81-3.83
Pm (0.2428, 0.8778, 0.4437)  7 Pm 3.52-3.85, 1 Y 3.65, 2 Ac 3.81-3.83
Pm (0.2900, 0.5177, 0.8839)  4 Pm 3.28-3.54, 3 Y 3.33-3.51, 2 Tm 3.49-3.59
Pm (0.4486, 0.9967, 0.8160)  4 Pm 3.29-3.65, 1 Tm 3.49, 2 Y 3.50-3.64, 1 Ac 3.67
Pm (0.4823, 0.7100, 0.6161)  4 Pm 3.28-3.54, 3 Y 3.33-3.51, 2 Tm 3.49-3.59
Pm (0.5177, 0.2900, 0.3839)  4 Pm 3.28-3.54, 3 Y 3.33-3.51, 2 Tm 3.49-3.59
Pm (0.5514, 0.0033, 0.1840)  4 Pm 3.29-3.65, 1 Tm 3.49, 2 Y 3.50-3.64, 1 Ac 3.67
Pm (0.7100, 0.4823, 0.1161)  4 Pm 3.28-3.54, 3 Y 3.33-3.51, 2 Tm 3.49-3.59
Pm (0.7572, 0.1222, 0.5563)  7 Pm 3.52-3.85, 1 Y 3.65, 2 Ac 3.81-3.83
Pm (0.8778, 0.2428, 0.9437)  7 Pm 3.52-3.85, 1 Y 3.65, 2 Ac 3.81-3.83
Pm (0.9967, 0.4486, 0.3160)  4 Pm 3.29-3.65, 1 Tm 3.49, 2 Y 3.50-3.64, 1 Ac 3.67
Y (0.2089, 0.3131, 0.5504)  6 Pm 3.33-3.65, 2 Ac 3.51-3.66, 1 Tm 3.56
Y (0.3131, 0.2089, 0.0504)  6 Pm 3.33-3.65, 2 Ac 3.51-3.66, 1 Tm 3.56
Y (0.6869, 0.7911, 0.9496)  6 Pm 3.33-3.65, 2 Ac 3.51-3.66, 1 Tm 3.56
Y (0.7911, 0.6869, 0.4496)  6 Pm 3.33-3.65, 2 Ac 3.51-3.66, 1 Tm 3.56
Tm (0.4130, 0.5870, 0.2500)  6 Pm 3.49-3.59, 4 Y 3.56-3.86
Tm (0.5870, 0.4130, 0.7500)  6 Pm 3.49-3.59, 4 Y 3.56-3.86

Computed properties:
- E: -97.56 eV for the cell shown
- Formation enthalpy at 0 K: 123 meV per atom